BaLi2Be | PBE-GGA | relaxed

Output
Calculated volume = 24.022 Å³/atom
Crystal system = tetragonal
Energy of formation = 426 meV per atom
M_tot = 0.00 μB/f.u.
DOS at the Fermi energy = 0.490 states/eV per atom

Cell lengths 3.517, 3.517, 7.768 Å; angles 90.00, 90.00, 90.00 degrees
Element x y z (fractional)
Ba 0.000 0.000 0.000
Li 0.500 0.500 0.343
Li 0.500 0.500 0.657
Be 0.000 0.000 0.500